First-principles (PBE) data for a geometry-optimized KOs2Pb structure, as listed in Alexandria.

Lattice parameters (Å, degrees): 3.024 4.947 5.317 90.00 90.00 90.00
Space group Pmmm (No. 47)
Unique sites:
K 0.000 0.000 0.000
Os 0.000 0.500 0.500
Os 0.500 0.000 0.500
Pb 0.500 0.500 0.000

The total magnetization comes out at 0.00 μB/f.u. The raw total energy comes out at -0.386 Ry per atom.

First-principles (PBE) data for a geometry-optimized KOs2Pb structure, as listed in Alexandria.

Lattice parameters (Å, degrees): 2.8742 2.8742 34.1611 90.00 90.00 120.00
Space group R-3m (No. 166, hexagonal axes)
Unique sites:
K 0.0000 0.0000 0.0000
Os 0.0000 0.0000 0.2488
Pb 0.0000 0.0000 0.5000

The total magnetization comes out at 0.73 μB/f.u. The raw total energy comes out at -0.396 Ry per atom.

First-principles (PBE) data for a geometry-optimized K4OsPb structure, as listed in Alexandria.

Lattice parameters (Å, degrees): 9.359 9.359 9.359 90.00 90.00 90.00
Space group F-43m (No. 216)
Unique sites:
K 0.125 0.125 0.125
Os 0.250 0.250 0.750
Pb 0.000 0.000 0.500

The total magnetization comes out at 2.13 μB/f.u. The raw total energy comes out at -0.151 Ry per atom.

First-principles (PBE) data for a geometry-optimized KOs2Pb structure, as listed in Alexandria.

Lattice parameters (Å, degrees): 2.854 5.072 6.843 90.00 90.00 90.00
Space group Pmmm (No. 47)
Unique sites:
K 0.000 0.000 0.000
Os 0.500 0.500 0.334
Pb 0.000 0.000 0.500

The total magnetization comes out at 0.43 μB/f.u. The raw total energy comes out at -0.407 Ry per atom.

First-principles (PBE) data for a geometry-optimized KOs2Pb structure, as listed in Alexandria.

Lattice parameters (Å, degrees): 2.921 2.921 9.862 90.00 90.00 90.00
Space group P4/mmm (No. 123)
Unique sites:
K 0.000 0.000 0.000
Os 0.500 0.500 0.282
Pb 0.000 0.000 0.500

The total magnetization comes out at 1.13 μB/f.u. The raw total energy comes out at -0.386 Ry per atom.

First-principles (PBE) data for a geometry-optimized KOs2Pb2 structure, as listed in Alexandria.

Lattice parameters (Å, degrees): 8.302 8.302 3.107 90.00 90.00 90.00
Space group P4/mbm (No. 127)
Unique sites:
K 0.000 0.000 0.000
Os 0.132 0.368 0.000
Pb 0.159 0.659 0.500

As for the polymorph energy (0 for the lowest one): 230.3 meV per atom. The total magnetization comes out at 0.00 μB/f.u.

First-principles (PBE) data for a geometry-optimized KOsPb structure, as listed in Alexandria.

Lattice parameters (Å, degrees): 7.165 7.165 7.165 90.00 90.00 90.00
Space group F-43m (No. 216)
Unique sites:
K 0.000 0.000 0.000
Os 0.250 0.250 0.250
Pb 0.250 0.250 0.750

As for the polymorph energy (0 for the lowest one): 1268.6 meV per atom. The total magnetization comes out at 1.61 μB/f.u.

First-principles (PBE) data for a geometry-optimized KOs2Pb structure, as listed in Alexandria.

Lattice parameters (Å, degrees): 5.950 10.372 2.689 90.00 90.00 90.00
Space group Cmmm (No. 65)
Unique sites:
K 0.000 0.000 0.000
Os 0.250 0.250 0.500
Pb 0.000 0.500 0.000

The total magnetization comes out at 0.00 μB/f.u. The raw total energy comes out at -0.386 Ry per atom.

First-principles (PBE) data for a geometry-optimized KOs2Pb structure, as listed in Alexandria.

Lattice parameters (Å, degrees): 2.955 4.881 11.245 90.00 90.00 90.00
Space group Cmmm (No. 65)
Unique sites:
K 0.000 0.000 0.000
Os 0.000 0.500 0.256
Pb 0.000 0.000 0.500

The total magnetization comes out at 0.00 μB/f.u. The raw total energy comes out at -0.394 Ry per atom.

First-principles (PBE) data for a geometry-optimized KOsPb structure, as listed in Alexandria.

Lattice parameters (Å, degrees): 3.312 3.312 14.031 90.00 90.00 90.00
Space group I4mm (No. 107)
Unique sites:
K 0.000 0.000 0.000
Os 0.000 0.000 0.323
Pb 0.000 0.000 0.710

As for the polymorph energy (0 for the lowest one): 85.4 meV per atom. The total magnetization comes out at 0.00 μB/f.u.

First-principles (PBE) data for a geometry-optimized KOs2Pb2 structure, as listed in Alexandria.

Lattice parameters (Å, degrees): 4.988 4.988 10.050 90.00 90.00 90.00
Space group I4/mmm (No. 139)
Unique sites:
K 0.000 0.000 0.000
Os 0.000 0.000 0.385
Pb 0.000 0.500 0.250

As for the polymorph energy (0 for the lowest one): 0.0 meV per atom. The total magnetization comes out at 0.00 μB/f.u.

First-principles (PBE) data for a geometry-optimized KOs2Pb structure, as listed in Alexandria.

Lattice parameters (Å, degrees): 4.040 4.040 4.950 90.00 90.00 90.00
Space group P4/mmm (No. 123)
Unique sites:
K 0.000 0.000 0.000
Os 0.000 0.500 0.500
Pb 0.500 0.500 0.000

The total magnetization comes out at 0.00 μB/f.u. The raw total energy comes out at -0.380 Ry per atom.